Material: KBaFeN2
Method: DFT, GGA-PBEsol
State: relaxed

Lattice parameters (Å, degrees): 4.114 4.114 4.505 90.00 90.00 90.00
Each line ends with the local moment (μB).
Fractional coordinates of all 5 atoms:
Ba1 0.500 0.500 0.500  0.02
Fe1 0.000 0.000 0.000  2.17
K1 0.000 0.000 0.500  -0.01
N1 0.000 0.500 0.000  0.26
N2 0.500 0.000 0.000  0.26

Calculated values
Formation energy from raw total energies: 0.764 eV/atom
Symmetry: P4/mmm, No. 123
Crystal system: tetragonal
Density: 5.7 g cm⁻³

***

Material: BeCd2Hg
Method: DFT, GGA-PBEsol
State: relaxed

Lattice parameters (Å, degrees): 2.958 2.959 8.177 90.00 90.00 90.00
Fractional coordinates of all 4 atoms:
Cd1 0.500 0.500 0.248
Cd2 0.000 0.000 0.957
Hg1 0.000 0.000 0.548
Be1 0.500 0.500 0.747

Calculated values
Symmetry: P4mm, No. 99
Formation energy: 0.24 eV/atom
Crystal system: tetragonal
Density: 10.1 g cm⁻³

***

Material: Ta2OsSe
Method: DFT, GGA-PBEsol
State: relaxed

Lattice parameters (Å, degrees): 3.078 4.678 4.934 103.55 108.18 90.00
Fractional coordinates of all 4 atoms:
Ta1 0.012 0.062 0.025
Ta2 0.233 0.684 0.467
Se1 0.754 0.201 0.507
Os1 0.500 0.553 0.001

Calculated values
Formation energy from raw total energies: -0.070 eV/atom
Symmetry: Cm, No. 8
Crystal system: monoclinic
Density: 16.0 g cm⁻³

***

Material: TcAs5
Method: DFT, GGA-PBEsol
State: relaxed

Lattice parameters (Å, degrees): 5.379 5.379 5.379 60.00 60.00 60.00
Each line ends with the local moment (μB).
Fractional coordinates of all 6 atoms:
As1 0.625 0.625 0.125  0.01
As2 0.625 0.125 0.625  0.01
As3 0.625 0.625 0.625  0.01
As4 0.125 0.625 0.625  0.01
As5 0.250 0.250 0.250  -0.02
Tc1 0.000 0.000 0.000  2.28

Calculated values
Symmetry: F-43m, No. 216
Formation energy: 0.88 eV/atom
Crystal system: cubic
Density: 7.1 g cm⁻³